Entry 1:
Compound: SrPS2O
Source: the Alexandria database
Functional: GGA-PBE
Structure: optimized geometry

Structure (CIF):
```
data_SrPS2O
_chemical_formula_sum 'Sr1 P1 S2 O1'
_space_group_name_H-M_alt 'P 4/m m m'
_space_group_IT_number 123
_space_group_name_Hall '-P 4 2'
_cell_length_a 5.762
_cell_length_b 5.762
_cell_length_c 6.064
_cell_angle_alpha 90.00
_cell_angle_beta 90.00
_cell_angle_gamma 90.00
loop_
_atom_site_label
_atom_site_fract_x
_atom_site_fract_y
_atom_site_fract_z
Sr1 0.000 0.000 0.000
P1 0.000 0.000 0.500
S1 0.000 0.500 0.000
O1 0.500 0.500 0.500
```

DOS at the Fermi energy in states/eV per cell: 8.9
Total moment in μB/f.u.: 2.00
ΔE_f (raw) in eV per formula unit: 5.72



Entry 2:
Compound: SrPSO2
Source: the Alexandria database
Functional: GGA-PBE
Structure: optimized geometry

Structure (CIF):
```
data_SrPSO2
_chemical_formula_sum 'Sr1 P1 S1 O2'
_space_group_name_H-M_alt 'P 4/m m m'
_space_group_IT_number 123
_space_group_name_Hall '-P 4 2'
_cell_length_a 4.346
_cell_length_b 4.346
_cell_length_c 8.204
_cell_angle_alpha 90.00
_cell_angle_beta 90.00
_cell_angle_gamma 90.00
loop_
_atom_site_label
_atom_site_fract_x
_atom_site_fract_y
_atom_site_fract_z
Sr1 0.000 0.000 0.000
P1 0.000 0.000 0.500
S1 0.500 0.500 0.500
O1 0.000 0.500 0.000
```

DOS at the Fermi energy in states/eV per cell: 2.8
Total moment in μB/f.u.: 3.17
ΔE_f (raw) in eV per formula unit: 1.95



Entry 3:
Compound: TaPS2O
Source: the Alexandria database
Functional: GGA-PBE
Structure: optimized geometry

Structure (CIF):
```
data_TaPS2O
_chemical_formula_sum 'Ta1 P1 S2 O1'
_space_group_name_H-M_alt 'P 4/m m m'
_space_group_IT_number 123
_space_group_name_Hall '-P 4 2'
_cell_length_a 4.704
_cell_length_b 4.704
_cell_length_c 4.962
_cell_angle_alpha 90.00
_cell_angle_beta 90.00
_cell_angle_gamma 90.00
loop_
_atom_site_label
_atom_site_fract_x
_atom_site_fract_y
_atom_site_fract_z
Ta1 0.000 0.000 0.000
P1 0.000 0.000 0.500
S1 0.000 0.500 0.000
O1 0.500 0.500 0.500
```

DOS at the Fermi energy in states/eV per cell: 5.7
Total moment in μB/f.u.: 1.19
ΔE_f (raw) in eV per formula unit: 2.37



Entry 4:
Compound: TaP2SO
Source: the Alexandria database
Functional: GGA-PBE
Structure: optimized geometry

Structure (CIF):
```
data_TaP2SO
_chemical_formula_sum 'Ta1 P2 S1 O1'
_space_group_name_H-M_alt 'P 4/m m m'
_space_group_IT_number 123
_space_group_name_Hall '-P 4 2'
_cell_length_a 4.563
_cell_length_b 4.563
_cell_length_c 3.416
_cell_angle_alpha 90.00
_cell_angle_beta 90.00
_cell_angle_gamma 90.00
loop_
_atom_site_label
_atom_site_fract_x
_atom_site_fract_y
_atom_site_fract_z
Ta1 0.000 0.000 0.000
P1 0.000 0.500 0.500
S1 0.500 0.500 0.500
O1 0.500 0.500 0.000
```

DOS at the Fermi energy in states/eV per cell: 2.8
Total moment in μB/f.u.: 0.45
ΔE_f (raw) in eV per formula unit: 2.02



Entry 5:
Compound: TaP2SO
Source: the Alexandria database
Functional: GGA-PBE
Structure: optimized geometry

Structure (CIF):
```
data_TaP2SO
_chemical_formula_sum 'Ta1 P2 S1 O1'
_space_group_name_H-M_alt 'P 4/m m m'
_space_group_IT_number 123
_space_group_name_Hall '-P 4 2'
_cell_length_a 3.726
_cell_length_b 3.726
_cell_length_c 5.178
_cell_angle_alpha 90.00
_cell_angle_beta 90.00
_cell_angle_gamma 90.00
loop_
_atom_site_label
_atom_site_fract_x
_atom_site_fract_y
_atom_site_fract_z
Ta1 0.000 0.000 0.000
P1 0.000 0.500 0.500
S1 0.500 0.500 0.000
O1 0.500 0.500 0.500
```

DOS at the Fermi energy in states/eV per cell: 1.8
Total moment in μB/f.u.: 0.00
ΔE_f (raw) in eV per formula unit: 1.56



Entry 6:
Compound: TaPS2O
Source: the Alexandria database
Functional: GGA-PBE
Structure: optimized geometry

Structure (CIF):
```
data_TaPS2O
_chemical_formula_sum 'Ta1 P1 S2 O1'
_space_group_name_H-M_alt 'P 4/m m m'
_space_group_IT_number 123
_space_group_name_Hall '-P 4 2'
_cell_length_a 4.289
_cell_length_b 4.289
_cell_length_c 3.831
_cell_angle_alpha 90.00
_cell_angle_beta 90.00
_cell_angle_gamma 90.00
loop_
_atom_site_label
_atom_site_fract_x
_atom_site_fract_y
_atom_site_fract_z
Ta1 0.000 0.000 0.000
P1 0.500 0.500 0.000
S1 0.000 0.500 0.500
O1 0.500 0.500 0.500
```

DOS at the Fermi energy in states/eV per cell: 2.1
Total moment in μB/f.u.: 0.00
ΔE_f (raw) in eV per formula unit: 2.58



Entry 7:
Compound: TaP2SO
Source: the Alexandria database
Functional: GGA-PBE
Structure: optimized geometry

Structure (CIF):
```
data_TaP2SO
_chemical_formula_sum 'Ta1 P2 S1 O1'
_space_group_name_H-M_alt 'P 4/m m m'
_space_group_IT_number 123
_space_group_name_Hall '-P 4 2'
_cell_length_a 4.832
_cell_length_b 4.832
_cell_length_c 4.615
_cell_angle_alpha 90.00
_cell_angle_beta 90.00
_cell_angle_gamma 90.00
loop_
_atom_site_label
_atom_site_fract_x
_atom_site_fract_y
_atom_site_fract_z
Ta1 0.000 0.000 0.000
P1 0.000 0.500 0.000
S1 0.000 0.000 0.500
O1 0.500 0.500 0.500
```

DOS at the Fermi energy in states/eV per cell: 9.4
Total moment in μB/f.u.: 0.00
ΔE_f (raw) in eV per formula unit: 3.71



Entry 8:
Compound: TaP2SO
Source: the Alexandria database
Functional: GGA-PBE
Structure: optimized geometry

Structure (CIF):
```
data_TaP2SO
_chemical_formula_sum 'Ta1 P2 S1 O1'
_space_group_name_H-M_alt 'P 4/m m m'
_space_group_IT_number 123
_space_group_name_Hall '-P 4 2'
_cell_length_a 4.946
_cell_length_b 4.946
_cell_length_c 3.834
_cell_angle_alpha 90.00
_cell_angle_beta 90.00
_cell_angle_gamma 90.00
loop_
_atom_site_label
_atom_site_fract_x
_atom_site_fract_y
_atom_site_fract_z
Ta1 0.000 0.000 0.000
P1 0.000 0.500 0.000
S1 0.500 0.500 0.500
O1 0.000 0.000 0.500
```

DOS at the Fermi energy in states/eV per cell: 4.0
Total moment in μB/f.u.: 0.00
ΔE_f (raw) in eV per formula unit: -0.77



Entry 9:
Compound: Tb8P3S4O
Source: the Alexandria database
Functional: GGA-PBE
Structure: optimized geometry

Structure (CIF):
```
data_Tb8P3S4O
_chemical_formula_sum 'Tb24 P9 S12 O3'
_space_group_name_H-M_alt 'R -3 m'
_space_group_IT_number 166
_space_group_name_Hall '-R 3 2"'
_cell_length_a 7.8054
_cell_length_b 7.8054
_cell_length_c 19.3237
_cell_angle_alpha 90.00
_cell_angle_beta 90.00
_cell_angle_gamma 120.00
loop_
_atom_site_label
_atom_site_fract_x
_atom_site_fract_y
_atom_site_fract_z
Tb1 0.0000 0.0000 0.2478
Tb2 0.0118 0.5059 0.2446
P1 0.0000 0.5000 0.5000
S1 0.0000 0.0000 0.0000
S2 0.0000 0.5000 0.0000
O1 0.0000 0.0000 0.5000
```

DOS at the Fermi energy in states/eV per cell: 20.8
Total moment in μB/f.u.: 0.00
ΔE_f (raw) in eV per formula unit: -31.32



Entry 10:
Compound: TcPS2O
Source: the Alexandria database
Functional: GGA-PBE
Structure: optimized geometry

Structure (CIF):
```
data_TcPS2O
_chemical_formula_sum 'Tc1 P1 S2 O1'
_space_group_name_H-M_alt 'P 4/m m m'
_space_group_IT_number 123
_space_group_name_Hall '-P 4 2'
_cell_length_a 4.169
_cell_length_b 4.169
_cell_length_c 3.923
_cell_angle_alpha 90.00
_cell_angle_beta 90.00
_cell_angle_gamma 90.00
loop_
_atom_site_label
_atom_site_fract_x
_atom_site_fract_y
_atom_site_fract_z
Tc1 0.000 0.000 0.000
P1 0.500 0.500 0.000
S1 0.000 0.500 0.500
O1 0.500 0.500 0.500
```

DOS at the Fermi energy in states/eV per cell: 3.1
Total moment in μB/f.u.: 0.00
ΔE_f (raw) in eV per formula unit: 4.26



Entry 11:
Compound: TcPS2O
Source: the Alexandria database
Functional: GGA-PBE
Structure: optimized geometry

Structure (CIF):
```
data_TcPS2O
_chemical_formula_sum 'Tc1 P1 S2 O1'
_space_group_name_H-M_alt 'P 4/m m m'
_space_group_IT_number 123
_space_group_name_Hall '-P 4 2'
_cell_length_a 4.453
_cell_length_b 4.453
_cell_length_c 4.761
_cell_angle_alpha 90.00
_cell_angle_beta 90.00
_cell_angle_gamma 90.00
loop_
_atom_site_label
_atom_site_fract_x
_atom_site_fract_y
_atom_site_fract_z
Tc1 0.000 0.000 0.000
P1 0.000 0.000 0.500
S1 0.000 0.500 0.000
O1 0.500 0.500 0.500
```

DOS at the Fermi energy in states/eV per cell: 6.1
Total moment in μB/f.u.: 0.00
ΔE_f (raw) in eV per formula unit: 4.15



Entry 12:
Compound: TePS2O
Source: the Alexandria database
Functional: GGA-PBE
Structure: optimized geometry

Structure (CIF):
```
data_TePS2O
_chemical_formula_sum 'Te1 P1 S2 O1'
_space_group_name_H-M_alt 'P 4/m m m'
_space_group_IT_number 123
_space_group_name_Hall '-P 4 2'
_cell_length_a 4.956
_cell_length_b 4.956
_cell_length_c 5.312
_cell_angle_alpha 90.00
_cell_angle_beta 90.00
_cell_angle_gamma 90.00
loop_
_atom_site_label
_atom_site_fract_x
_atom_site_fract_y
_atom_site_fract_z
Te1 0.000 0.000 0.000
P1 0.000 0.000 0.500
S1 0.000 0.500 0.000
O1 0.500 0.500 0.500
```

DOS at the Fermi energy in states/eV per cell: 11.7
Total moment in μB/f.u.: 0.86
ΔE_f (raw) in eV per formula unit: 7.88



Entry 13:
Compound: TeP2SO
Source: the Alexandria database
Functional: GGA-PBE
Structure: optimized geometry

Structure (CIF):
```
data_TeP2SO
_chemical_formula_sum 'Te1 P2 S1 O1'
_space_group_name_H-M_alt 'P 4/m m m'
_space_group_IT_number 123
_space_group_name_Hall '-P 4 2'
_cell_length_a 4.761
_cell_length_b 4.761
_cell_length_c 3.601
_cell_angle_alpha 90.00
_cell_angle_beta 90.00
_cell_angle_gamma 90.00
loop_
_atom_site_label
_atom_site_fract_x
_atom_site_fract_y
_atom_site_fract_z
Te1 0.000 0.000 0.000
P1 0.000 0.500 0.500
S1 0.500 0.500 0.500
O1 0.500 0.500 0.000
```

DOS at the Fermi energy in states/eV per cell: 2.7
Total moment in μB/f.u.: 0.00
ΔE_f (raw) in eV per formula unit: 2.16



Entry 14:
Compound: TePS2O
Source: the Alexandria database
Functional: GGA-PBE
Structure: optimized geometry

Structure (CIF):
```
data_TePS2O
_chemical_formula_sum 'Te1 P1 S2 O1'
_space_group_name_H-M_alt 'P 4/m m m'
_space_group_IT_number 123
_space_group_name_Hall '-P 4 2'
_cell_length_a 4.474
_cell_length_b 4.474
_cell_length_c 4.104
_cell_angle_alpha 90.00
_cell_angle_beta 90.00
_cell_angle_gamma 90.00
loop_
_atom_site_label
_atom_site_fract_x
_atom_site_fract_y
_atom_site_fract_z
Te1 0.000 0.000 0.000
P1 0.500 0.500 0.000
S1 0.000 0.500 0.500
O1 0.500 0.500 0.500
```

DOS at the Fermi energy in states/eV per cell: 3.0
Total moment in μB/f.u.: 0.00
ΔE_f (raw) in eV per formula unit: 3.68



Entry 15:
Compound: TeP2SO
Source: the Alexandria database
Functional: GGA-PBE
Structure: optimized geometry

Structure (CIF):
```
data_TeP2SO
_chemical_formula_sum 'Te1 P2 S1 O1'
_space_group_name_H-M_alt 'P 4/m m m'
_space_group_IT_number 123
_space_group_name_Hall '-P 4 2'
_cell_length_a 3.889
_cell_length_b 3.889
_cell_length_c 6.353
_cell_angle_alpha 90.00
_cell_angle_beta 90.00
_cell_angle_gamma 90.00
loop_
_atom_site_label
_atom_site_fract_x
_atom_site_fract_y
_atom_site_fract_z
Te1 0.000 0.000 0.000
P1 0.000 0.500 0.500
S1 0.500 0.500 0.000
O1 0.500 0.500 0.500
```

DOS at the Fermi energy in states/eV per cell: 2.8
Total moment in μB/f.u.: 0.00
ΔE_f (raw) in eV per formula unit: 2.70



Entry 16:
Compound: TeP2SO
Source: the Alexandria database
Functional: GGA-PBE
Structure: optimized geometry

Structure (CIF):
```
data_TeP2SO
_chemical_formula_sum 'Te1 P2 S1 O1'
_space_group_name_H-M_alt 'P 4/m m m'
_space_group_IT_number 123
_space_group_name_Hall '-P 4 2'
_cell_length_a 5.153
_cell_length_b 5.153
_cell_length_c 3.905
_cell_angle_alpha 90.00
_cell_angle_beta 90.00
_cell_angle_gamma 90.00
loop_
_atom_site_label
_atom_site_fract_x
_atom_site_fract_y
_atom_site_fract_z
Te1 0.000 0.000 0.000
P1 0.000 0.500 0.000
S1 0.500 0.500 0.500
O1 0.000 0.000 0.500
```

DOS at the Fermi energy in states/eV per cell: 3.0
Total moment in μB/f.u.: 0.00
ΔE_f (raw) in eV per formula unit: 4.13



Entry 17:
Compound: TeP2SO
Source: the Alexandria database
Functional: GGA-PBE
Structure: optimized geometry

Structure (CIF):
```
data_TeP2SO
_chemical_formula_sum 'Te1 P2 S1 O1'
_space_group_name_H-M_alt 'P 4/m m m'
_space_group_IT_number 123
_space_group_name_Hall '-P 4 2'
_cell_length_a 5.176
_cell_length_b 5.176
_cell_length_c 4.926
_cell_angle_alpha 90.00
_cell_angle_beta 90.00
_cell_angle_gamma 90.00
loop_
_atom_site_label
_atom_site_fract_x
_atom_site_fract_y
_atom_site_fract_z
Te1 0.000 0.000 0.000
P1 0.000 0.500 0.000
S1 0.000 0.000 0.500
O1 0.500 0.500 0.500
```

DOS at the Fermi energy in states/eV per cell: 9.5
Total moment in μB/f.u.: 1.41
ΔE_f (raw) in eV per formula unit: 8.76



Entry 18:
Compound: TiP2SO
Source: the Alexandria database
Functional: GGA-PBE
Structure: optimized geometry

Structure (CIF):
```
data_TiP2SO
_chemical_formula_sum 'Ti1 P2 S1 O1'
_space_group_name_H-M_alt 'P 4/m m m'
_space_group_IT_number 123
_space_group_name_Hall '-P 4 2'
_cell_length_a 3.710
_cell_length_b 3.710
_cell_length_c 5.493
_cell_angle_alpha 90.00
_cell_angle_beta 90.00
_cell_angle_gamma 90.00
loop_
_atom_site_label
_atom_site_fract_x
_atom_site_fract_y
_atom_site_fract_z
Ti1 0.000 0.000 0.000
P1 0.000 0.500 0.500
S1 0.500 0.500 0.000
O1 0.500 0.500 0.500
```

DOS at the Fermi energy in states/eV per cell: 3.3
Total moment in μB/f.u.: 0.00
ΔE_f (raw) in eV per formula unit: 0.35



Entry 19:
Compound: TiPS2O
Source: the Alexandria database
Functional: GGA-PBE
Structure: optimized geometry

Structure (CIF):
```
data_TiPS2O
_chemical_formula_sum 'Ti1 P1 S2 O1'
_space_group_name_H-M_alt 'P 4/m m m'
_space_group_IT_number 123
_space_group_name_Hall '-P 4 2'
_cell_length_a 4.576
_cell_length_b 4.576
_cell_length_c 4.885
_cell_angle_alpha 90.00
_cell_angle_beta 90.00
_cell_angle_gamma 90.00
loop_
_atom_site_label
_atom_site_fract_x
_atom_site_fract_y
_atom_site_fract_z
Ti1 0.000 0.000 0.000
P1 0.000 0.000 0.500
S1 0.000 0.500 0.000
O1 0.500 0.500 0.500
```

DOS at the Fermi energy in states/eV per cell: 3.8
Total moment in μB/f.u.: 0.99
ΔE_f (raw) in eV per formula unit: 2.03



Entry 20:
Compound: TiP2SO
Source: the Alexandria database
Functional: GGA-PBE
Structure: optimized geometry

Structure (CIF):
```
data_TiP2SO
_chemical_formula_sum 'Ti1 P2 S1 O1'
_space_group_name_H-M_alt 'P 4/m m m'
_space_group_IT_number 123
_space_group_name_Hall '-P 4 2'
_cell_length_a 4.891
_cell_length_b 4.891
_cell_length_c 3.662
_cell_angle_alpha 90.00
_cell_angle_beta 90.00
_cell_angle_gamma 90.00
loop_
_atom_site_label
_atom_site_fract_x
_atom_site_fract_y
_atom_site_fract_z
Ti1 0.000 0.000 0.000
P1 0.000 0.500 0.000
S1 0.500 0.500 0.500
O1 0.000 0.000 0.500
```

DOS at the Fermi energy in states/eV per cell: 3.4
Total moment in μB/f.u.: 0.00
ΔE_f (raw) in eV per formula unit: -1.08